VASP calculation (GGA-PBE) on an optimized crystal structure of MnNi3H.

a = 4.5918 Å, b = 4.5918 Å, c = 4.5918 Å
α = 92.91°, β = 92.91°, γ = 92.91°
With the nearest neighbours (Å) after each atom.
Element x y z (fractional)
Mn  0.0000  0.0000  0.0000  2 H 1.88
Mn  0.5000  0.5000  0.5000  2 H 1.88
Ni  0.0214  0.7500  0.4786  1 H 1.81
Ni  0.2500  0.5214  0.9786  1 H 1.81
Ni  0.4786  0.0214  0.7500  1 H 1.81
Ni  0.5214  0.9786  0.2500  1 H 1.81
Ni  0.7500  0.4786  0.0214  1 H 1.81
Ni  0.9786  0.2500  0.5214  1 H 1.81
H  0.2500  0.2500  0.2500  3 Ni 1.81, 2 Mn 1.88
H  0.7500  0.7500  0.7500  3 Ni 1.81, 2 Mn 1.88

Values from the calculation:
Energy above the lowest structure with this stoichiometry   124 meV/atom
VASP energy   -5.951 eV/atom
Total magnetization   8.57 μB/cell

=====

VASP calculation (GGA-PBE) on an optimized crystal structure of Mn2Ni3H8.

a = 4.8186 Å, b = 2.7427 Å, c = 6.8479 Å
α = 90.00°, β = 104.91°, γ = 90.00°
With the nearest neighbours (Å) after each atom.
Element x y z (fractional)
Mn  0.2312  0.0000  0.1915  4 H 1.74-1.81
Mn  0.7688  0.0000  0.8085  4 H 1.74-1.81
Ni  0.0000  0.0000  0.5000  6 H 1.76-1.84
Ni  0.2674  0.5000  0.8150  5 H 1.65-1.77
Ni  0.7326  0.5000  0.1850  5 H 1.65-1.77
H  0.1094  0.5000  0.3566  3 Ni 1.84-1.89, 2 Mn 1.96
H  0.1429  0.0000  0.9186  2 Ni 1.72, 2 Mn 1.77-1.81
H  0.3416  0.0000  0.6725  3 Ni 1.76-1.77
H  0.3793  0.5000  0.0997  1 Ni 1.65, 2 Mn 1.74
H  0.6207  0.5000  0.9003  1 Ni 1.65, 2 Mn 1.74
H  0.6584  0.0000  0.3275  3 Ni 1.76-1.77
H  0.8571  0.0000  0.0814  2 Ni 1.72, 2 Mn 1.77-1.81
H  0.8906  0.5000  0.6434  3 Ni 1.84-1.89, 2 Mn 1.96

Values from the calculation:
VASP energy   -4.767 eV/atom
Total magnetization   6.42 μB/cell

=====

VASP calculation (GGA-PBE) on an optimized crystal structure of MnNi3H.

a = 9.3449 Å, b = 9.3449 Å, c = 9.3449 Å
α = 154.13°, β = 154.13°, γ = 36.91°
With the nearest neighbours (Å) after each atom.
Element x y z (fractional)
Mn  0.0000  0.0000  0.0000  4 Ni 2.45
Mn  0.7500  0.2500  0.5000  4 Ni 2.45
Ni  0.3627  0.3627  0.0000  2 H 2.10
Ni  0.3705  0.1255  0.2450  2 Ni 2.05-2.13
Ni  0.6373  0.6373  0.0000  2 H 2.10
Ni  0.8745  0.1195  0.2450  2 Ni 2.05-2.13
Ni  0.8745  0.6295  0.7550  2 Ni 2.05-2.13
Ni  0.8805  0.1255  0.7550  2 Ni 2.05-2.13
H  0.1305  0.6305  0.5000  6 Ni 2.10-2.33
H  0.3695  0.8695  0.5000  6 Ni 2.10-2.33

Values from the calculation:
Energy above the lowest structure with this stoichiometry   969 meV/atom
VASP energy   -5.105 eV/atom
Total magnetization   10.73 μB/cell

=====

VASP calculation (GGA-PBE) on an optimized crystal structure of MnNi3H8.

a = 5.1264 Å, b = 5.1264 Å, c = 5.0749 Å
α = 91.93°, β = 91.93°, γ = 38.74°
With the nearest neighbours (Å) after each atom.
Element x y z (fractional)
Mn  0.0000  0.0000  0.0000  6 H 1.86-2.01
Ni  0.1497  0.1497  0.5729  6 H 1.59-1.71
Ni  0.3020  0.3020  0.1332  7 H 1.66-1.71
Ni  0.4604  0.4604  0.5795  6 H 1.60-1.71
H  0.1433  0.1433  0.2541  2 Ni 1.62-1.67
H  0.1823  0.1823  0.8903  2 Ni 1.63-1.66
H  0.3035  0.3035  0.4712  3 Ni 1.59-1.71
H  0.4060  0.4060  0.8790  2 Ni 1.63-1.66
H  0.4638  0.4638  0.2546  2 Ni 1.65-1.66
H  0.6342  0.6342  0.5875  3 Ni 1.68-1.71
H  0.8143  0.8143  0.1104  2 Ni 1.71, 1 Mn 1.90
H  0.9752  0.9752  0.6066  3 Ni 1.70-1.71

Values from the calculation:
VASP energy   -4.390 eV/atom
Total magnetization   4.14 μB/cell

=====

VASP calculation (GGA-PBE) on an optimized crystal structure of NpMnNi2H8.

a = 5.9018 Å, b = 5.9018 Å, c = 5.9018 Å
α = 43.75°, β = 43.75°, γ = 43.75°
With the nearest neighbours (Å) after each atom.
Element x y z (fractional)
Np  0.0000  0.0000  0.0000  6 H 2.24
Mn  0.5000  0.5000  0.5000  6 H 1.68
Ni  0.2105  0.2105  0.2105  4 H 1.64-1.66
Ni  0.7895  0.7895  0.7895  4 H 1.64-1.66
H  0.1469  0.7922  0.3973  1 Ni 1.66, 1 Mn 1.68
H  0.2078  0.6027  0.8531  1 Ni 1.66, 1 Mn 1.68
H  0.3129  0.3129  0.3129  1 Ni 1.64
H  0.3973  0.1469  0.7922  1 Ni 1.66, 1 Mn 1.68
H  0.6027  0.8531  0.2078  1 Ni 1.66, 1 Mn 1.68
H  0.6871  0.6871  0.6871  1 Ni 1.64
H  0.7922  0.3973  0.1469  1 Ni 1.66, 1 Mn 1.68
H  0.8531  0.2078  0.6027  1 Ni 1.66, 1 Mn 1.68

Values from the calculation:
VASP energy   -5.059 eV/atom
Total magnetization   6.53 μB/cell

=====

VASP calculation (GGA-PBE) on an optimized crystal structure of NpMn2NiH8.

a = 4.1165 Å, b = 4.1318 Å, c = 5.6964 Å
α = 111.20°, β = 90.16°, γ = 90.04°
With the nearest neighbours (Å) after each atom.
Element x y z (fractional)
Np  0.0000  0.0000  0.0000  12 H 2.30-2.44
Mn  0.4985  0.6069  0.3072  6 H 1.86-2.06
Mn  0.5015  0.3931  0.6928  6 H 1.86-2.06
Ni  0.0000  0.0000  0.5000  6 H 1.68-1.75
H  0.0059  0.6278  0.2272  1 Ni 1.75
H  0.2583  0.2306  0.3903  1 Ni 1.69, 1 Mn 1.89
H  0.2601  0.7760  0.6123  1 Ni 1.68
H  0.5002  0.2449  0.9961  2 Mn 1.86-2.03, 1 H 2.04
H  0.4998  0.7551  0.0039  2 Mn 1.86-2.03, 1 H 2.04
H  0.7399  0.2240  0.3877  1 Ni 1.68
H  0.7417  0.7694  0.6097  1 Ni 1.69, 1 Mn 1.89
H  0.9941  0.3722  0.7728  1 Ni 1.75

Values from the calculation:
VASP energy   -5.291 eV/atom
Total magnetization   10.65 μB/cell